No. 1
Here is a relaxed LiLaSbIr crystal from the Open Quantum Materials Database. Energies are from PBE-GGA.

The structure in extended XYZ format:
```
4
Lattice="0.0000 3.4309 3.4309 3.4309 0.0000 3.4309 3.4309 3.4309 0.0000" Properties=species:S:1:pos:R:3 pbc="T T T"
Li 0.0000 0.0000 0.0000
La 1.7155 1.7155 1.7155
Sb 5.1464 5.1464 5.1464
Ir 3.4309 3.4309 3.4309
```

Calculated values
For the density, the calculation gives 9.45 g cm⁻³. The calculation puts the excess energy over the best structure of this formula in the dataset at 0.0 meV/atom. The symmetry is F-43m (216). The electronic total energy is -5.623 eV/atom. For the volume, the calculation gives 20.19 Å³/atom.

---

No. 2
Here is a relaxed Zr crystal from the Open Quantum Materials Database. Energies are from PBE-GGA.

The structure in extended XYZ format:
```
2
Lattice="3.2255 0.0000 0.0000 -1.6128 2.7934 0.0000 0.0000 0.0000 5.1843" Properties=species:S:1:pos:R:3 pbc="T T T"
Zr 0.0000 1.8623 1.2961
Zr 1.6128 0.9311 3.8882
```

Calculated values
For the density, the calculation gives 6.49 g cm⁻³. The calculation puts the excess energy over the best structure of this formula in the dataset at 0.5 meV/atom. The symmetry is P6_3/mmc (194). The electronic total energy is -8.547 eV/atom. For the volume, the calculation gives 23.36 Å³/atom. The value obtained for the formation enthalpy at 0 K is 0 kJ per mole of atoms.

---

No. 3
Here is a relaxed Na3GdI6 crystal from the Open Quantum Materials Database. Energies are from PBE-GGA.

The structure in extended XYZ format:
```
10
Lattice="3.8988 2.2510 7.3063 -3.8988 2.2510 7.3063 0.0000 -4.5020 7.3063" Properties=species:S:1:pos:R:3 pbc="T T T"
Na 0.0000 0.0000 0.0000
Na 0.0000 0.0000 3.7823
Na 0.0000 0.0000 18.1367
Gd 0.0000 0.0000 10.9595
I -1.2114 -2.1739 9.1633
I -2.4883 -0.0379 12.7557
I -1.2770 2.1360 9.1633
I 1.2770 -2.1360 12.7557
I 2.4883 0.0379 9.1633
I 1.2114 2.1739 12.7557
```

Calculated values
For the density, the calculation gives 4.26 g cm⁻³. The symmetry is R-3 (148). The electronic total energy is -3.098 eV/atom. For the volume, the calculation gives 38.47 Å³/atom.

---

No. 4
Here is a relaxed SnPd9 crystal from the Open Quantum Materials Database. Energies are from PBE-GGA.

The structure in extended XYZ format:
```
20
Lattice="2.8613 0.0000 0.0000 0.0000 3.8634 0.0000 0.0000 0.0000 38.6642" Properties=species:S:1:pos:R:3 pbc="T T T"
Sn 0.7153 0.9659 6.0567
Sn 2.1460 2.8976 32.6075
Pd 0.7153 0.9659 8.9066
Pd 0.7153 0.9659 11.7044
Pd 0.7153 0.9659 14.4922
Pd 0.7153 0.9659 17.2589
Pd 0.7153 0.9659 20.0206
Pd 0.7153 0.9659 22.7907
Pd 0.7153 0.9659 25.5669
Pd 0.7153 0.9659 28.3626
Pd 0.7153 0.9659 31.2284
Pd 2.1460 2.8976 7.4359
Pd 2.1460 2.8976 10.3016
Pd 2.1460 2.8976 13.0974
Pd 2.1460 2.8976 15.8735
Pd 2.1460 2.8976 18.6436
Pd 2.1460 2.8976 21.4054
Pd 2.1460 2.8976 24.1721
Pd 2.1460 2.8976 26.9598
Pd 2.1460 2.8976 29.7576
```

Calculated values
For the density, the calculation gives 8.36 g cm⁻³. The calculation puts the excess energy over the best structure of this formula in the dataset at 0.0 meV/atom. The symmetry is Pmmn (59). The electronic total energy is -5.107 eV/atom. For the volume, the calculation gives 21.37 Å³/atom.

---

No. 5
Here is a relaxed PrTmTe3Pb crystal from the Open Quantum Materials Database. Energies are from PBE-GGA.

The structure in extended XYZ format:
```
12
Lattice="2.2505 -7.6808 0.0000 2.2505 7.6808 0.0000 0.0000 0.0000 12.1364" Properties=species:S:1:pos:R:3 pbc="T T T"
Pr 0.0000 0.0000 0.0000
Pr 0.0000 0.0000 6.0682
Tm 2.2505 0.4262 9.1023
Tm 2.2505 -0.4262 3.0341
Te 2.2505 6.1889 9.1023
Te 2.2505 2.2168 6.7149
Te 2.2505 2.2168 11.4896
Te 2.2505 -2.2168 0.6468
Te 2.2505 -2.2168 5.4214
Te 2.2505 -6.1889 3.0341
Pb 2.2505 4.6440 3.0341
Pb 2.2505 -4.6440 9.1023
```

Calculated values
For the density, the calculation gives 7.12 g cm⁻³. The symmetry is Cmcm (63). The electronic total energy is -4.622 eV/atom. For the volume, the calculation gives 34.96 Å³/atom.

---

No. 6
Here is a relaxed CdSiNiPd crystal from the Open Quantum Materials Database. Energies are from PBE-GGA.

The structure in extended XYZ format:
```
4
Lattice="0.0000 3.0781 3.0781 3.0781 0.0000 3.0781 3.0781 3.0781 0.0000" Properties=species:S:1:pos:R:3 pbc="T T T"
Cd 0.0000 0.0000 0.0000
Si 3.0781 3.0781 3.0781
Ni 4.6171 4.6171 4.6171
Pd 1.5390 1.5390 1.5390
```

Calculated values
For the density, the calculation gives 8.70 g cm⁻³. The symmetry is F-43m (216). The electronic total energy is -4.413 eV/atom. For the volume, the calculation gives 14.58 Å³/atom.

---

No. 7
Here is a relaxed Cs2InAgCl6 crystal from the Open Quantum Materials Database. Energies are from PBE-GGA.

The structure in extended XYZ format:
```
10
Lattice="0.0000 5.2958 5.2958 5.2958 0.0000 5.2958 5.2958 5.2958 0.0000" Properties=species:S:1:pos:R:3 pbc="T T T"
Cs 2.6479 2.6479 2.6479
Cs 7.9437 7.9437 7.9437
In 0.0000 0.0000 0.0000
Ag 5.2958 5.2958 5.2958
Cl 5.2958 5.2958 2.5521
Cl 5.2958 2.5521 5.2958
Cl 8.0395 5.2958 5.2958
Cl 2.5521 5.2958 5.2958
Cl 5.2958 8.0395 5.2958
Cl 5.2958 5.2958 8.0395
```

Calculated values
For the density, the calculation gives 3.92 g cm⁻³. The calculation puts the excess energy over the best structure of this formula in the dataset at 0.0 meV/atom. The symmetry is Fm-3m (225). The electronic total energy is -3.220 eV/atom. For the volume, the calculation gives 29.70 Å³/atom.

---

No. 8
Here is a relaxed NdNi2SnAs crystal from the Open Quantum Materials Database. Energies are from PBE-GGA.

The structure in extended XYZ format:
```
10
Lattice="4.3658 0.0000 0.0000 0.0000 4.3658 0.0000 0.0000 0.0000 9.7252" Properties=species:S:1:pos:R:3 pbc="T T T"
Nd 1.0914 1.0914 2.3153
Nd 3.2743 3.2743 7.4099
Ni 1.0914 1.0914 8.7495
Ni 1.0914 3.2743 4.8626
Ni 3.2743 1.0914 4.8626
Ni 3.2743 3.2743 0.9756
Sn 1.0914 1.0914 6.1848
Sn 3.2743 3.2743 3.5403
As 1.0914 3.2743 0.0000
As 3.2743 1.0914 0.0000
```

Calculated values
For the density, the calculation gives 8.16 g cm⁻³. The symmetry is P4/nmm (129). The electronic total energy is -5.573 eV/atom. For the volume, the calculation gives 18.54 Å³/atom.

---

No. 9
Here is a relaxed NdTlPb2 crystal from the Open Quantum Materials Database. Energies are from PBE-GGA.

The structure in extended XYZ format:
```
4
Lattice="4.8403 0.0000 0.0000 0.0000 4.8403 0.0000 0.0000 0.0000 4.9702" Properties=species:S:1:pos:R:3 pbc="T T T"
Nd 0.0000 0.0000 0.0000
Tl 2.4201 2.4201 0.0000
Pb 0.0000 2.4201 2.4851
Pb 2.4201 0.0000 2.4851
```

Calculated values
For the density, the calculation gives 10.88 g cm⁻³. The symmetry is P4/mmm (123). The electronic total energy is -4.003 eV/atom. For the volume, the calculation gives 29.11 Å³/atom.

---

No. 10
Here is a relaxed LuTa2As crystal from the Open Quantum Materials Database. Energies are from PBE-GGA.

The structure in extended XYZ format:
```
4
Lattice="0.0000 3.3632 3.3632 3.3632 0.0000 3.3632 3.3632 3.3632 0.0000" Properties=species:S:1:pos:R:3 pbc="T T T"
Lu 0.0000 0.0000 0.0000
Ta 1.6816 1.6816 1.6816
Ta 3.3632 3.3632 3.3632
As 5.0449 5.0449 5.0449
```

Calculated values
For the density, the calculation gives 13.35 g cm⁻³. The symmetry is F-43m (216). The electronic total energy is -8.123 eV/atom. For the volume, the calculation gives 19.02 Å³/atom.

---

No. 11
Here is a relaxed BaLu2Si3O10 crystal from the Open Quantum Materials Database. Energies are from PBE-GGA.

The structure in extended XYZ format:
```
32
Lattice="5.3364 0.0000 0.0000 0.0000 12.0498 0.0000 -1.9467 0.0000 6.4755" Properties=species:S:1:pos:R:3 pbc="T T T"
Ba 0.3645 3.0124 3.1036
Ba 3.0252 9.0373 3.3719
Lu 0.4765 7.2350 1.1613
Lu 0.4765 10.8396 1.1613
Lu 2.9132 1.2102 5.3142
Lu 2.9132 4.8147 5.3142
Si 0.2339 6.7284 4.5986
Si 0.2339 11.3463 4.5986
Si 2.2055 3.0124 0.0827
Si 1.1842 9.0373 6.3928
Si 3.1559 0.7035 1.8768
Si 3.1559 5.3214 1.8768
O -1.1331 6.6139 5.5164
O -1.1331 11.4608 5.5164
O -1.0486 3.0124 5.5910
O -0.1176 7.4739 3.2037
O -0.1176 10.6007 3.2037
O 1.7190 9.0373 0.7096
O 0.9982 0.7113 4.4841
O 0.9982 5.3136 4.4841
O 2.0696 1.7027 1.0680
O 2.0696 4.3222 1.0680
O 1.3201 7.7276 5.4075
O 1.3201 10.3471 5.4075
O 2.3915 6.7362 1.9914
O 2.3915 11.3385 1.9914
O 1.6707 3.0124 5.7658
O 3.5073 1.4491 3.2718
O 3.5073 4.5758 3.2718
O 4.4383 9.0373 0.8844
O 4.5228 0.5890 0.9590
O 4.5228 5.4359 0.9590
```

Calculated values
For the density, the calculation gives 5.83 g cm⁻³. The symmetry is P2_1/m (11). The electronic total energy is -7.992 eV/atom. For the volume, the calculation gives 13.01 Å³/atom.

---

No. 12
Here is a relaxed Mg2ZrAl crystal from the Open Quantum Materials Database. Energies are from PBE-GGA.

The structure in extended XYZ format:
```
4
Lattice="0.0000 3.4241 3.4241 3.4241 0.0000 3.4241 3.4241 3.4241 0.0000" Properties=species:S:1:pos:R:3 pbc="T T T"
Mg 0.0000 0.0000 0.0000
Mg 1.7120 1.7120 1.7120
Zr 5.1361 5.1361 5.1361
Al 3.4241 3.4241 3.4241
```

Calculated values
For the density, the calculation gives 3.45 g cm⁻³. The symmetry is F-43m (216). The electronic total energy is -3.857 eV/atom. For the volume, the calculation gives 20.07 Å³/atom.